(1)
# TlFeSi2 (PBE, relaxed)
data_TlFeSi2
_chemical_formula_sum 'Tl1 Fe1 Si2'
_cell_length_a 5.9722
_cell_length_b 5.9722
_cell_length_c 5.9722
_cell_angle_alpha 153.55
_cell_angle_beta 133.26
_cell_angle_gamma 54.50
_symmetry_space_group_name_H-M 'P 1'
_symmetry_Int_Tables_number 1
_symmetry_space_group_name_Hall 'P 1'
loop_
_atom_site_label
_atom_site_type_symbol
_atom_site_fract_x
_atom_site_fract_y
_atom_site_fract_z
Tl1 Tl 0.0000 0.0000 0.0000
Fe1 Fe 0.5000 0.5000 0.0000
Si1 Si 0.3091 0.8091 0.5000
Si2 Si 0.6909 0.1909 0.5000
# - Calculated volume: 69 Å³/f.u.
# - E_form (uncorrected): 1.90 eV per formula unit
# - Energy relative to the lowest polymorph listed for this composition: 342 meV per atom
# - Total moment: 1.24 μB/f.u.
# - DOS at the Fermi energy: 3.50 states/eV/cell
# - Total DFT energy (no corrections): -4.94 eV per atom



(2)
# La4Co2I3 (PBE, relaxed)
data_La4Co2I3
_chemical_formula_sum 'La4 Co2 I3'
_cell_length_a 4.0301
_cell_length_b 8.6534
_cell_length_c 9.1697
_cell_angle_alpha 109.52
_cell_angle_beta 102.54
_cell_angle_gamma 103.39
_symmetry_space_group_name_H-M 'P 1'
_symmetry_Int_Tables_number 1
_symmetry_space_group_name_Hall 'P 1'
loop_
_atom_site_label
_atom_site_type_symbol
_atom_site_fract_x
_atom_site_fract_y
_atom_site_fract_z
La1 La 0.0146 0.2041 0.3239
La2 La 0.1819 0.7609 0.0912
La3 La 0.8181 0.2391 0.9088
La4 La 0.9854 0.7959 0.6761
Co1 Co 0.2296 0.0224 0.9369
Co2 Co 0.7704 0.9776 0.0631
I1 I 0.3818 0.5061 0.7547
I2 I 0.5000 0.0000 0.5000
I3 I 0.6182 0.4939 0.2453
# - Calculated volume: 278 Å³/f.u.
# - E_form (uncorrected): -6.15 eV per formula unit
# - Total moment: 0.00 μB/f.u.
# - DOS at the Fermi energy: 6.34 states/eV/cell
# - Total DFT energy (no corrections): -4.97 eV per atom



(3)
# UAs2Pd (PBE, relaxed)
data_UAs2Pd
_chemical_formula_sum 'U1 As2 Pd1'
_cell_length_a 4.4989
_cell_length_b 4.4989
_cell_length_c 3.6795
_cell_angle_alpha 90.00
_cell_angle_beta 90.00
_cell_angle_gamma 90.00
_symmetry_space_group_name_H-M 'P 1'
_symmetry_Int_Tables_number 1
_symmetry_space_group_name_Hall 'P 1'
loop_
_atom_site_label
_atom_site_type_symbol
_atom_site_fract_x
_atom_site_fract_y
_atom_site_fract_z
U1 U 0.0000 0.0000 0.0000
As1 As 0.0000 0.5000 0.5000
As2 As 0.5000 0.0000 0.5000
Pd1 Pd 0.5000 0.5000 0.0000
# - Calculated volume: 74 Å³/f.u.
# - Energy of formation: -565 meV per atom
# - Total moment: 1.29 μB/f.u.
# - DOS at the Fermi energy: 5.44 states/eV/cell
# - Total DFT energy (no corrections): -7.01 eV per atom